# 1
A relaxed structure of LiMg14V. Source: the Alexandria database, functional PBE-GGA.

## Properties
- Magnetization: 3.62 μB per cell
- Energy relative to the elements: 63.1 meV/atom
- ΔE to the lowest computed polymorph: 0.000 eV/atom

abc: 6.3100 6.3100 10.2211
angles: 90.00 90.00 120.00
Closest atoms and distances in Å follow each position.
Element x y z (fractional)
Mg (0.6733, 0.8366, 0.2462)  1 V 3.09, 10 Mg 3.09-3.22, 1 Li 3.15
Mg (0.4988, 0.9977, 0.5000)  10 Mg 3.12-3.18, 2 Li 3.16
Mg (0.1634, 0.8366, 0.2462)  1 V 3.09, 10 Mg 3.09-3.22, 1 Li 3.15
Mg (0.6733, 0.8366, 0.7538)  1 V 3.09, 10 Mg 3.09-3.22, 1 Li 3.15
Mg (0.6667, 0.3333, 0.2526)  12 Mg 3.12-3.16
Mg (0.9999, 0.5000, 0.0000)  10 Mg 3.12-3.16, 2 V 3.16
Mg (0.5000, 0.5000, 0.0000)  10 Mg 3.12-3.16, 2 V 3.16
Mg (0.1634, 0.3267, 0.2462)  1 V 3.09, 10 Mg 3.09-3.22, 1 Li 3.15
Mg (0.1634, 0.3267, 0.7538)  1 V 3.09, 10 Mg 3.09-3.22, 1 Li 3.15
Mg (0.1634, 0.8366, 0.7538)  1 V 3.09, 10 Mg 3.09-3.22, 1 Li 3.15
Mg (0.0023, 0.5012, 0.5000)  10 Mg 3.12-3.18, 2 Li 3.16
Mg (0.4988, 0.5012, 0.5000)  10 Mg 3.12-3.18, 2 Li 3.16
Mg (0.6667, 0.3333, 0.7474)  12 Mg 3.12-3.16
Mg (0.5000, 0.0001, 0.0000)  10 Mg 3.12-3.16, 2 V 3.16
Li (0.0000, 0.0000, 0.5000)  12 Mg 3.15-3.16
V (0.0000, 0.0000, 0.0000)  12 Mg 3.09-3.16

***

# 2
A relaxed structure of LiMgV2Zn. Source: the Alexandria database, functional PBE-GGA.

## Properties
- Magnetization: 7.55 μB per cell
- Energy relative to the elements: 1360.4 meV/atom

abc: 5.0397 4.8334 5.0397
angles: 90.00 90.00 90.00
Closest atoms and distances in Å follow each position.
Element x y z (fractional)
Zn (0.0000, 0.5000, 0.0000)  2 Mg 2.42
V (0.0000, 0.0000, 0.5000)  2 Mg 2.52
V (0.5000, 0.0000, 0.0000)  2 Mg 2.52
Li (0.5000, 0.5000, 0.5000)  8 V 3.49, 4 Zn 3.56
Mg (0.0000, 0.0000, 0.0000)  2 Zn 2.42, 4 V 2.52

***

# 3
A relaxed structure of LiMgW2. Source: the Alexandria database, functional PBE-GGA.

## Properties
- Magnetization: 0.00 μB per cell
- Energy relative to the elements: 480.0 meV/atom

abc: 4.8168 4.8168 5.4626
angles: 87.24 87.24 31.68
Closest atoms and distances in Å follow each position.
Element x y z (fractional)
W (0.7499, 0.7499, 0.7689)  5 W 2.61-2.85, 1 Li 2.83
W (0.9988, 0.9988, 0.9727)  5 W 2.61-2.85, 1 Mg 2.91
Li (0.4988, 0.4988, 0.4935)  2 Li 2.63, 3 Mg 2.66-2.92, 3 W 2.83-2.93
Mg (0.2525, 0.2525, 0.2649)  2 Mg 2.63, 3 Li 2.66-2.92, 1 W 2.91

***

# 4
A relaxed structure of LiMgW2. Source: the Alexandria database, functional PBE-GGA.

## Properties
- Magnetization: 0.00 μB per cell
- Energy relative to the elements: 277.7 meV/atom

abc: 2.7398 2.7398 9.5626
angles: 90.00 90.00 109.31
Closest atoms and distances in Å follow each position.
Element x y z (fractional)
W (0.5000, 0.5000, 0.2445)  6 W 2.74, 2 Li 2.82
W (0.0000, 0.0000, 0.0104)  6 W 2.74, 2 Mg 2.90
Li (0.0000, 0.0000, 0.4889)  4 Li 2.74, 2 W 2.82, 2 Mg 3.01
Mg (0.5000, 0.5000, 0.7561)  4 Mg 2.74, 2 W 2.90, 2 Li 3.01

***

# 5
A relaxed structure of LiMg2W. Source: the Alexandria database, functional PBE-GGA.

## Properties
- Magnetization: 0.00 μB per cell
- Energy relative to the elements: 236.4 meV/atom
- ΔE to the lowest computed polymorph: 0.007 eV/atom

abc: 2.7935 2.7935 9.4054
angles: 90.00 90.00 90.00
Closest atoms and distances in Å follow each position.
Element x y z (fractional)
Li (0.5000, 0.5000, 0.7500)  4 Li 2.79
Mg (0.0000, 0.0000, 0.0130)  4 Mg 2.79, 4 W 2.98
Mg (0.0000, 0.0000, 0.4870)  4 Mg 2.79, 4 W 2.98
W (0.5000, 0.5000, 0.2500)  4 W 2.79, 8 Mg 2.98

***

# 6
A relaxed structure of Li2MgW. Source: the Alexandria database, functional PBE-GGA.

## Properties
- Magnetization: 0.00 μB per cell
- Energy relative to the elements: 487.2 meV/atom

abc: 2.5799 4.6265 5.7607
angles: 90.00 90.00 90.00
Closest atoms and distances in Å follow each position.
Element x y z (fractional)
Li (0.0000, 0.0000, 0.9886)  2 Li 2.58, 1 Mg 2.68
Li (0.5000, 0.5000, 0.2425)  2 Li 2.58, 1 W 2.86
Mg (0.0000, 0.0000, 0.5237)  2 Mg 2.58, 1 Li 2.68
W (0.5000, 0.5000, 0.7453)  2 W 2.58, 1 Li 2.86

***

# 7
A relaxed structure of LiMg2W. Source: the Alexandria database, functional PBE-GGA.

## Properties
- Magnetization: 0.00 μB per cell
- Energy relative to the elements: 561.3 meV/atom
- ΔE to the lowest computed polymorph: 0.331 eV/atom

abc: 5.6234 5.6234 5.6234
angles: 151.12 127.29 61.22
Closest atoms and distances in Å follow each position.
Element x y z (fractional)
W (0.2500, 0.7500, 0.5000)  2 W 2.80, 4 Li 2.86, 4 Mg 2.94
Mg (0.9828, 0.9828, 0.0000)  2 Li 2.65, 6 Mg 2.80-2.88, 2 W 2.94
Mg (0.5172, 0.5172, 0.0000)  2 Li 2.65, 6 Mg 2.80-2.88, 2 W 2.94
Li (0.7500, 0.2500, 0.5000)  4 Mg 2.65, 2 Li 2.80, 4 W 2.86

***

# 8
A relaxed structure of LiMg2W. Source: the Alexandria database, functional PBE-GGA.

## Properties
- Magnetization: 0.00 μB per cell
- Energy relative to the elements: 438.4 meV/atom
- ΔE to the lowest computed polymorph: 0.209 eV/atom

abc: 4.5783 2.6939 5.9376
angles: 76.98 90.00 90.00
Closest atoms and distances in Å follow each position.
Element x y z (fractional)
Li (0.5000, 0.7500, 0.7500)  2 Li 2.69, 4 Mg 2.85, 2 W 2.97
Mg (0.0000, 0.9148, 0.0087)  3 Mg 2.69-2.80, 2 Li 2.85, 2 W 2.95
Mg (0.0000, 0.5852, 0.4913)  3 Mg 2.69-2.80, 2 Li 2.85, 2 W 2.95
W (0.5000, 0.2500, 0.2500)  2 W 2.69, 4 Mg 2.95, 2 Li 2.97

***

# 9
A relaxed structure of LiMg2W. Source: the Alexandria database, functional PBE-GGA.

## Properties
- Magnetization: 1.88 μB per cell
- Energy relative to the elements: 934.2 meV/atom
- ΔE to the lowest computed polymorph: 0.704 eV/atom

abc: 7.1147 7.1147 5.7498
angles: 51.78 51.78 90.00
Closest atoms and distances in Å follow each position.
Element x y z (fractional)
Mg (0.8750, 0.8430, 0.7500)  2 Li 2.46
Mg (0.3750, 0.4070, 0.7500)  2 Li 2.46
Mg (0.1570, 0.6250, 0.2500)  2 Li 2.46
Mg (0.5930, 0.1250, 0.2500)  2 Li 2.46
W (0.0000, 0.0000, 0.0000)  4 Mg 2.77, 2 Li 2.78
W (0.7500, 0.2500, 0.5000)  4 Mg 2.77, 2 Li 2.78
Li (0.2500, 0.7500, 0.5000)  4 Mg 2.46
Li (0.5000, 0.5000, 0.0000)  4 Mg 2.46

***

# 10
A relaxed structure of Li2MgW. Source: the Alexandria database, functional PBE-GGA.

## Properties
- Magnetization: 2.54 μB per cell
- Energy relative to the elements: 1070.8 meV/atom

abc: 6.9780 6.9780 5.6466
angles: 51.84 51.84 90.00
Closest atoms and distances in Å follow each position.
Element x y z (fractional)
Mg (0.2500, 0.7500, 0.5000)  4 Li 2.53, 2 W 2.75
Mg (0.5000, 0.5000, 0.0000)  4 Li 2.53, 2 W 2.75
W (0.7500, 0.2500, 0.5000)  4 Li 2.59, 2 Mg 2.75
W (0.0000, 0.0000, 0.0000)  4 Li 2.59, 2 Mg 2.75
Li (0.6185, 0.1250, 0.2500)  2 Mg 2.53, 2 W 2.59, 2 Li 2.75
Li (0.8750, 0.8685, 0.7500)  2 Mg 2.53, 2 W 2.59, 2 Li 2.75
Li (0.1315, 0.6250, 0.2500)  2 Mg 2.53, 2 W 2.59, 2 Li 2.75
Li (0.3750, 0.3815, 0.7500)  2 Mg 2.53, 2 W 2.59, 2 Li 2.75

***

# 11
A relaxed structure of LiMgW2. Source: the Alexandria database, functional PBE-GGA.

## Properties
- Magnetization: 0.00 μB per cell
- Energy relative to the elements: 895.1 meV/atom

abc: 3.2430 3.2430 6.0234
angles: 90.00 90.00 90.00
Closest atoms and distances in Å follow each position.
Element x y z (fractional)
W (0.0000, 0.0000, 0.0504)  1 W 2.40, 4 Li 2.59
W (0.0000, 0.0000, 0.4496)  1 W 2.40, 4 Li 2.59
Li (0.5000, 0.5000, 0.2500)  8 W 2.59
Mg (0.5000, 0.5000, 0.7500)  8 W 2.92, 2 Li 3.01, 4 Mg 3.24

***

# 12
A relaxed structure of LiMg14W. Source: the Alexandria database, functional PBE-GGA.

## Properties
- Magnetization: 0.00 μB per cell
- Energy relative to the elements: 113.0 meV/atom
- ΔE to the lowest computed polymorph: 0.000 eV/atom

abc: 6.1324 6.1324 9.0968
angles: 90.00 90.00 95.66
Closest atoms and distances in Å follow each position.
Element x y z (fractional)
Mg (0.8749, 0.1251, 0.0000)  12 Mg 3.07-3.38
Mg (0.1232, 0.3732, 0.7338)  1 Li 2.95, 8 Mg 2.97-3.19, 1 W 2.97
Mg (0.3748, 0.1248, 0.0000)  12 Mg 3.07-3.32
Mg (0.1417, 0.8583, 0.7410)  9 Mg 2.97-3.17, 1 W 3.05, 1 Li 3.27
Mg (0.8748, 0.6248, 0.5000)  8 Mg 3.01-3.11, 2 W 3.07, 2 Li 3.07
Mg (0.6268, 0.8768, 0.7338)  1 Li 2.95, 8 Mg 2.97-3.19, 1 W 2.97
Mg (0.1232, 0.3732, 0.2662)  1 Li 2.95, 8 Mg 2.97-3.19, 1 W 2.97
Mg (0.3751, 0.6249, 0.0000)  12 Mg 3.07-3.19
Mg (0.6083, 0.3917, 0.7412)  9 Mg 2.97-3.17, 1 W 3.05, 1 Li 3.27
Mg (0.3752, 0.1252, 0.5000)  8 Mg 3.01-3.11, 2 W 3.07, 2 Li 3.07
Mg (0.8752, 0.6252, 0.0000)  12 Mg 3.07-3.32
Mg (0.1417, 0.8583, 0.2590)  9 Mg 2.97-3.17, 1 W 3.05, 1 Li 3.27
Mg (0.6083, 0.3917, 0.2588)  9 Mg 2.97-3.17, 1 W 3.05, 1 Li 3.27
Mg (0.6268, 0.8768, 0.2662)  1 Li 2.95, 8 Mg 2.97-3.19, 1 W 2.97
W (0.3750, 0.6250, 0.5000)  12 Mg 2.97-3.07
Li (0.8751, 0.1249, 0.5000)  12 Mg 2.95-3.27

***

Copy entry 10 word for word.
A relaxed structure of Li2MgW. Source: the Alexandria database, functional PBE-GGA.

## Properties
- Magnetization: 2.54 μB per cell
- Energy relative to the elements: 1070.8 meV/atom

abc: 6.9780 6.9780 5.6466
angles: 51.84 51.84 90.00
Closest atoms and distances in Å follow each position.
Element x y z (fractional)
Mg (0.2500, 0.7500, 0.5000)  4 Li 2.53, 2 W 2.75
Mg (0.5000, 0.5000, 0.0000)  4 Li 2.53, 2 W 2.75
W (0.7500, 0.2500, 0.5000)  4 Li 2.59, 2 Mg 2.75
W (0.0000, 0.0000, 0.0000)  4 Li 2.59, 2 Mg 2.75
Li (0.6185, 0.1250, 0.2500)  2 Mg 2.53, 2 W 2.59, 2 Li 2.75
Li (0.8750, 0.8685, 0.7500)  2 Mg 2.53, 2 W 2.59, 2 Li 2.75
Li (0.1315, 0.6250, 0.2500)  2 Mg 2.53, 2 W 2.59, 2 Li 2.75
Li (0.3750, 0.3815, 0.7500)  2 Mg 2.53, 2 W 2.59, 2 Li 2.75